Computed, not measured: a relaxed structure of Tb2Pm6Nd3Pb at the PBE level of DFT.

```
Tb2Pm6Nd3Pb
1.0
6.2680 -0.0102 0.0267
-3.1413 5.4241 0.0267
-1.1151 -1.9309 11.7116
Tb Pm Nd Pb
2 6 3 1
Direct
0.3350 0.6650 0.0000
0.6650 0.3350 0.0000
0.9187 0.5931 0.7558
0.7562 0.7562 0.2468
0.0813 0.4069 0.2442
0.5931 0.9187 0.7558
0.2438 0.2438 0.7532
0.4069 0.0813 0.2442
0.1695 0.8305 0.5000
0.8305 0.1695 0.5000
0.5000 0.5000 0.5000
0.0000 0.0000 0.0000
```

## Properties
Formation enthalpy at 0 K (eV per formula unit): -0.584
VASP energy (eV for the cell shown): -56.36
Fermi-level density of states (states/eV/f.u.): 15.1
Space group: C2/m, No. 12